<A>
Below is a relaxed NdZrTc crystal, with properties calculated at the PBE level.

Cell lengths 4.684, 4.684, 4.684 Å; angles 60.00, 60.00, 60.00 degrees
Fractional positions:
Nd1 0.250 0.250 0.250
Tc1 0.750 0.750 0.750
Zr1 0.000 0.000 0.000

As for the space group: F-43m (216). Its crystal system is cubic.



<B>
Below is a relaxed NdZrTc crystal, with properties calculated at the PBE level.

Cell lengths 4.674, 4.674, 4.674 Å; angles 60.00, 60.00, 60.00 degrees
Fractional positions:
Nd1 0.000 0.000 0.000
Tc1 0.250 0.250 0.250
Zr1 0.750 0.750 0.750

As for the space group: F-43m (216). Its crystal system is cubic.



The energy of each structure relative to the most stable one, in meV/atom, is as follows: <A> 0; <B> 461.



<A>
Below is a relaxed NdTlZnTe3 crystal, with properties calculated at the PBE level.

Cell lengths 10.149, 10.149, 9.390 Å; angles 103.55, 103.55, 25.85 degrees
Fractional positions:
Nd1 0.826 0.826 0.412
Nd2 0.174 0.174 0.588
Te1 0.500 0.500 0.000
Te2 0.331 0.331 0.181
Te3 0.664 0.664 0.355
Te4 0.000 0.000 0.500
Te5 0.336 0.336 0.645
Te6 0.669 0.669 0.819
Tl1 0.133 0.133 0.074
Tl2 0.867 0.867 0.926
Zn1 0.469 0.469 0.276
Zn2 0.531 0.531 0.724

As for the space group: C2/m (12). Its crystal system is monoclinic.



<B>
Below is a relaxed NdTlZnTe3 crystal, with properties calculated at the PBE level.

Cell lengths 11.914, 4.437, 15.551 Å; angles 90.00, 90.00, 90.00 degrees
Fractional positions:
Nd1 0.517 0.750 0.244
Nd2 0.017 0.750 0.256
Nd3 0.983 0.250 0.744
Nd4 0.483 0.250 0.756
Te1 0.589 0.250 0.110
Te2 0.950 0.250 0.119
Te3 0.264 0.750 0.175
Te4 0.764 0.750 0.325
Te5 0.450 0.250 0.381
Te6 0.089 0.250 0.390
Te7 0.911 0.750 0.610
Te8 0.550 0.750 0.619
Te9 0.236 0.250 0.675
Te10 0.736 0.250 0.825
Te11 0.050 0.750 0.881
Te12 0.411 0.750 0.890
Tl1 0.779 0.750 0.007
Tl2 0.279 0.750 0.493
Tl3 0.721 0.250 0.507
Tl4 0.221 0.250 0.993
Zn1 0.765 0.250 0.218
Zn2 0.265 0.250 0.282
Zn3 0.735 0.750 0.718
Zn4 0.235 0.750 0.782

As for the space group: Pnma (62). Its crystal system is orthorhombic.



<C>
Below is a relaxed NdTlZnTe3 crystal, with properties calculated at the PBE level.

Cell lengths 9.129, 4.663, 17.997 Å; angles 90.00, 90.00, 90.00 degrees
Fractional positions:
Nd1 0.757 0.750 0.047
Nd2 0.257 0.750 0.453
Nd3 0.743 0.250 0.547
Nd4 0.243 0.250 0.953
Te1 0.125 0.750 0.057
Te2 0.497 0.250 0.088
Te3 0.795 0.750 0.216
Te4 0.295 0.750 0.284
Te5 0.997 0.250 0.412
Te6 0.625 0.750 0.443
Te7 0.375 0.250 0.557
Te8 0.003 0.750 0.588
Te9 0.705 0.250 0.716
Te10 0.205 0.250 0.784
Te11 0.503 0.750 0.912
Te12 0.875 0.250 0.943
Tl1 0.065 0.250 0.211
Tl2 0.565 0.250 0.289
Tl3 0.435 0.750 0.711
Tl4 0.935 0.750 0.789
Zn1 0.370 0.750 0.143
Zn2 0.870 0.750 0.357
Zn3 0.130 0.250 0.643
Zn4 0.630 0.250 0.857

As for the space group: Pnma (62). Its crystal system is orthorhombic.



<D>
Below is a relaxed NdTlZnTe3 crystal, with properties calculated at the PBE level.

Cell lengths 12.664, 4.581, 13.331 Å; angles 90.00, 90.00, 90.00 degrees
Fractional positions:
Nd1 0.474 0.500 0.181
Nd2 0.974 0.500 0.319
Nd3 0.026 0.000 0.681
Nd4 0.526 0.000 0.819
Te1 0.602 0.000 0.061
Te2 0.959 0.000 0.150
Te3 0.216 0.500 0.193
Te4 0.716 0.500 0.307
Te5 0.459 0.000 0.350
Te6 0.102 0.000 0.439
Te7 0.898 0.500 0.561
Te8 0.541 0.500 0.650
Te9 0.284 0.000 0.693
Te10 0.784 0.000 0.807
Te11 0.041 0.500 0.850
Te12 0.398 0.500 0.939
Tl1 0.819 0.500 0.005
Tl2 0.319 0.500 0.495
Tl3 0.681 0.000 0.505
Tl4 0.181 0.000 0.995
Zn1 0.756 0.000 0.201
Zn2 0.256 0.000 0.299
Zn3 0.744 0.500 0.701
Zn4 0.244 0.500 0.799

As for the space group: Pnma (62). Its crystal system is orthorhombic.



The energy of each structure relative to the most stable one, in meV/atom, is as follows: <A> 149; <B> 0; <C> 89; <D> 30.



<A>
Below is a relaxed NdTm crystal, with properties calculated at the PBE level.

Cell lengths 4.571, 4.571, 4.571 Å; angles 60.00, 60.00, 60.00 degrees
Fractional positions:
Nd1 0.000 0.000 0.000
Tm1 0.500 0.500 0.500

As for the space group: Fm-3m (225). Its crystal system is cubic.



<B>
Below is a relaxed NdTm crystal, with properties calculated at the PBE level.

Cell lengths 4.952, 4.952, 4.952 Å; angles 60.00, 60.00, 60.00 degrees
Fractional positions:
Nd1 0.000 0.000 0.000
Tm1 0.250 0.250 0.250

As for the space group: F-43m (216). Its crystal system is cubic.



<C>
Below is a relaxed NdTm crystal, with properties calculated at the PBE level.

Cell lengths 3.631, 3.631, 5.735 Å; angles 90.00, 90.00, 120.00 degrees
Fractional positions:
Nd1 0.667 0.333 0.750
Tm1 0.333 0.667 0.250

As for the space group: P-6m2 (187). Its crystal system is hexagonal.



The energy of each structure relative to the most stable one, in meV/atom, is as follows: <A> 655; <B> 1701; <C> 0.



<A>
Below is a relaxed NdZr crystal, with properties calculated at the PBE level.

Cell lengths 4.391, 4.391, 4.391 Å; angles 60.00, 60.00, 60.00 degrees
Fractional positions:
Nd1 0.000 0.000 0.000
Zr1 0.500 0.500 0.500

As for the space group: Fm-3m (225). Its crystal system is cubic.



<B>
Below is a relaxed NdZr crystal, with properties calculated at the PBE level.

Cell lengths 5.911, 10.478, 5.502 Å; angles 90.00, 90.00, 90.00 degrees
Fractional positions:
Nd1 0.488 0.158 0.000
Nd2 0.988 0.676 0.000
Nd3 0.860 0.158 0.500
Nd4 0.321 0.341 0.500
Nd5 0.821 0.492 0.500
Nd6 0.360 0.676 0.500
Zr1 0.999 0.340 0.000
Zr2 0.499 0.493 0.000
Zr3 0.519 0.847 0.000
Zr4 0.019 0.987 0.000
Zr5 0.813 0.857 0.500
Zr6 0.313 0.977 0.500

As for the space group: Pmc2_1 (26). Its crystal system is orthorhombic.



<C>
Below is a relaxed NdZr crystal, with properties calculated at the PBE level.

Cell lengths 5.782, 10.963, 5.445 Å; angles 90.00, 90.00, 90.00 degrees
Fractional positions:
Nd1 0.465 0.194 0.000
Nd2 0.964 0.973 0.000
Nd3 0.874 0.186 0.500
Nd4 0.832 0.503 0.500
Nd5 0.332 0.664 0.500
Nd6 0.374 0.980 0.500
Zr1 0.011 0.368 0.000
Zr2 0.484 0.498 0.000
Zr3 0.984 0.668 0.000
Zr4 0.511 0.799 0.000
Zr5 0.335 0.354 0.500
Zr6 0.835 0.813 0.500

As for the space group: Pmc2_1 (26). Its crystal system is orthorhombic.



<D>
Below is a relaxed NdZr crystal, with properties calculated at the PBE level.

Cell lengths 12.415, 3.370, 5.457 Å; angles 90.00, 90.00, 90.00 degrees
Fractional positions:
Nd1 0.521 0.000 0.000
Nd2 0.231 0.500 0.000
Nd3 0.686 0.000 0.500
Nd4 0.396 0.500 0.500
Zr1 0.993 0.000 0.000
Zr2 0.782 0.500 0.000
Zr3 0.134 0.000 0.500
Zr4 0.924 0.500 0.500

As for the space group: Pmmn (59). Its crystal system is orthorhombic.



The energy of each structure relative to the most stable one, in meV/atom, is as follows: <A> 839; <B> 46; <C> 34; <D> 0.